[1]
Below is crystalline DyBeAlAg at its relaxed geometry, with properties calculated at the PBE level.

## Properties
total DFT energy (no corrections)	-3.85	eV/atom
mass density	7.1	Mg/m³
V	285.9	Å³ per cell

Cell lengths 6.588, 6.588, 6.588 Å; angles 90.00, 90.00, 90.00 degrees
Space group F-43m (No. 216)
Unique sites:
Dy1 0.000 0.000 0.000 [4 per cell]
Be1 0.250 0.250 0.750 [4 per cell]
Al1 0.000 0.000 0.500 [4 per cell]
Ag1 0.250 0.250 0.250 [4 per cell]



[2]
Below is crystalline ErBeAlAg at its relaxed geometry, with properties calculated at the PBE level.

## Properties
total DFT energy (no corrections)	-3.84	eV/atom
mass density	7.4	Mg/m³
V	280.9	Å³ per cell

Cell lengths 6.550, 6.550, 6.550 Å; angles 90.00, 90.00, 90.00 degrees
Space group F-43m (No. 216)
Unique sites:
Er1 0.000 0.000 0.000 [4 per cell]
Be1 0.250 0.250 0.250 [4 per cell]
Al1 0.000 0.000 0.500 [4 per cell]
Ag1 0.250 0.250 0.750 [4 per cell]



Please write out number 2 again, unchanged.
Below is crystalline ErBeAlAg at its relaxed geometry, with properties calculated at the PBE level.

## Properties
total DFT energy (no corrections)	-3.84	eV/atom
mass density	7.4	Mg/m³
V	280.9	Å³ per cell

Cell lengths 6.550, 6.550, 6.550 Å; angles 90.00, 90.00, 90.00 degrees
Space group F-43m (No. 216)
Unique sites:
Er1 0.000 0.000 0.000 [4 per cell]
Be1 0.250 0.250 0.250 [4 per cell]
Al1 0.000 0.000 0.500 [4 per cell]
Ag1 0.250 0.250 0.750 [4 per cell]



> Which of these has the highest total DFT energy (no corrections)?

ErBeAlAg



> Look up the mass density of the first one.

7.1 Mg/m³